The following is a DFT calculation (GGA-PBE) of a geometry-optimized NdGe4Os2 structure.

a = 4.260 Å, b = 6.825 Å, c = 17.238 Å
α = 90.00°, β = 90.00°, γ = 90.00°
Element x y z (fractional)
1 Os 0.250 0.757 0.540
2 Os 0.750 0.243 0.460
3 Os 0.750 0.257 0.960
4 Os 0.250 0.743 0.040
5 Os 0.250 0.032 0.794
6 Os 0.750 0.968 0.206
7 Os 0.750 0.532 0.706
8 Os 0.250 0.468 0.294
9 Ge 0.250 0.322 0.692
10 Ge 0.750 0.678 0.308
11 Ge 0.750 0.822 0.808
12 Ge 0.250 0.178 0.192
13 Ge 0.250 0.750 0.691
14 Ge 0.750 0.250 0.309
15 Ge 0.750 0.250 0.809
16 Ge 0.250 0.750 0.191
17 Ge 0.250 0.137 0.527
18 Ge 0.750 0.863 0.473
19 Ge 0.750 0.637 0.973
20 Ge 0.250 0.363 0.027
21 Ge 0.250 0.486 0.439
22 Ge 0.750 0.514 0.561
23 Ge 0.750 0.986 0.061
24 Ge 0.250 0.014 0.939
25 Nd 0.750 0.045 0.643
26 Nd 0.250 0.955 0.357
27 Nd 0.250 0.545 0.857
28 Nd 0.750 0.455 0.143

Properties
Density ... 10.8 g/cm3
E_form ... -301 meV/atom
DOS(E_F) ... 10.21 states/eV per cell
Space group ... Pnma (62)